No. 1
Compound: Ho8PdPt2
Source: Alexandria via LeMat-Bulk
Functional: PBE
Structure: relaxed

## Properties
The value obtained for the density is 10604 kg/m3. For the energy of formation from the pure elements, the calculation gives -0.649 eV/atom. The total energy is -5.55 eV/atom. As for the distance to the lowest polymorph of the same formula: 0.000 eV per atom. Its spin magnetization is 0.000 μB/atom.

Lattice parameters (Å, degrees): 17.3554 4.9524 6.7850 90.00 102.77 90.00
With the nearest neighbours (Å) after each atom.
Space group C2/m (No. 12)
Asymmetric unit:
Ho 0.0329 0.0000 0.2773 [4 per cell]  1 Pt 2.86, 2 Pd 3.02
Ho 0.0908 0.5000 0.9567 [4 per cell]  1 Pd 3.15, 7 Ho 3.33-3.50, 2 Pt 3.36
Ho 0.1659 0.5000 0.4743 [4 per cell]  3 Pt 2.79-3.06, 1 Pd 2.92
Ho 0.2065 0.0000 0.8280 [4 per cell]  3 Pt 2.81-3.11
Pd 0.0000 0.5000 0.5000 [2 per cell]  8 Ho 2.92-3.15
Pt 0.1927 0.0000 0.2332 [4 per cell]  7 Ho 2.79-3.11

No. 2
Compound: Tm4ScPb2
Source: Alexandria via LeMat-Bulk
Functional: PBE
Structure: relaxed

## Properties
The value obtained for the density is 9346 kg/m3. For the energy of formation from the pure elements, the calculation gives -0.223 eV/atom. The total energy is -4.74 eV/atom. As for the distance to the lowest polymorph of the same formula: 0.000 eV per atom. Its spin magnetization is 0.002 μB/atom.

Lattice parameters (Å, degrees): 8.6632 10.0770 4.6203 90.00 90.00 90.00
With the nearest neighbours (Å) after each atom.
Space group Cmmm (No. 65)
Asymmetric unit:
Tm 0.2096 0.0000 0.0000 [4 per cell]  4 Pb 3.34-3.37, 2 Sc 3.42, 5 Tm 3.44-3.63
Tm 0.2500 0.2500 0.5000 [4 per cell]  4 Pb 3.18, 2 Sc 3.32, 4 Tm 3.44
Sc 0.0000 0.5000 0.5000 [2 per cell]  4 Pb 3.19, 8 Tm 3.32-3.42
Pb 0.0000 0.2819 0.0000 [4 per cell]  8 Tm 3.18-3.37, 2 Sc 3.19

No. 3
Compound: HfMgTl2Au
Source: Alexandria via LeMat-Bulk
Functional: PBE
Structure: relaxed

## Properties
The value obtained for the density is 7597 kg/m3. For the energy of formation from the pure elements, the calculation gives 0.978 eV/atom. The total energy is -2.93 eV/atom. Its spin magnetization is 0.061 μB/atom.

Lattice parameters (Å, degrees): 5.5760 5.5760 5.6841 90.00 90.00 90.00
With the nearest neighbours (Å) after each atom.
Space group P4/mmm (No. 123)
Asymmetric unit:
Hf 0.0000 0.0000 0.0000 [1 per cell]  4 Tl 2.79, 2 Mg 2.84
Mg 0.0000 0.0000 0.5000 [1 per cell]  2 Hf 2.84
Tl 0.0000 0.5000 0.0000 [2 per cell]  2 Hf 2.79
Au 0.5000 0.5000 0.5000 [1 per cell]  4 Mg 3.94, 8 Tl 3.98

No. 4
Compound: KAg2HgI6
Source: Alexandria via LeMat-Bulk
Functional: PBE
Structure: relaxed

## Properties
The value obtained for the density is 4209 kg/m3. The calculation puts the formation energy (no corrections) at -0.42 eV per atom. The total energy is -2.06 eV/atom. Its spin magnetization is 0.099 μB/atom.

Lattice parameters (Å, degrees): 15.9514 15.2788 8.9346 90.00 118.13 90.00
With the nearest neighbours (Å) after each atom.
Space group C2/c (No. 15)
Asymmetric unit:
K 0.0000 0.1309 0.2500 [4 per cell]  6 I 3.58-3.67
Ag 0.1762 0.4269 0.1394 [8 per cell]  4 I 2.79-2.90
Hg 0.0000 0.1764 0.7500 [4 per cell]  4 I 2.80-2.97
I 0.1133 0.4418 0.3939 [8 per cell]  2 Ag 2.79-2.90
I 0.1234 0.0554 0.6814 [8 per cell]  1 Ag 2.83, 1 Hg 2.97
I 0.1256 0.2456 0.0681 [8 per cell]  1 Hg 2.80, 1 Ag 2.87

No. 5
Compound: Na2Hf2In
Source: Alexandria via LeMat-Bulk
Functional: PBE
Structure: relaxed

## Properties
The value obtained for the density is 6455 kg/m3. For the energy of formation from the pure elements, the calculation gives 0.816 eV/atom. The total energy is -4.24 eV/atom. As for the distance to the lowest polymorph of the same formula: 0.194 eV per atom. Its spin magnetization is 0.000 μB/atom.

Lattice parameters (Å, degrees): 9.4553 9.4553 2.9798 90.00 90.00 90.00
With the nearest neighbours (Å) after each atom.
Space group P4/mbm (No. 127)
Asymmetric unit:
Na 0.1868 0.3132 0.0000 [4 per cell]  2 Na 2.98, 6 Hf 3.12-3.25
Hf 0.1082 0.6082 0.5000 [4 per cell]  3 Hf 2.89-2.98, 2 Na 3.12
In 0.0000 0.0000 0.0000 [2 per cell]  2 In 2.98

No. 6
Compound: NbNi2HS
Source: Alexandria via LeMat-Bulk
Functional: PBE
Structure: relaxed

## Properties
The value obtained for the density is 7293 kg/m3. The total energy is -5.89 eV/atom. Its spin magnetization is 0.000 μB/atom.

Lattice parameters (Å, degrees): 3.5642 3.5642 4.3620 90.00 90.00 90.00
With the nearest neighbours (Å) after each atom.
Space group P4/mmm (No. 123)
Asymmetric unit:
Nb 0.0000 0.0000 0.0000 [1 per cell]  2 H 2.18
Ni 0.0000 0.5000 0.5000 [2 per cell]  2 H 1.78
H 0.0000 0.0000 0.5000 [1 per cell]  4 Ni 1.78
S 0.5000 0.5000 0.0000 [1 per cell]  4 Nb 2.52, 8 Ni 2.82

No. 7
Compound: KCrMo2
Source: Alexandria via LeMat-Bulk
Functional: PBE
Structure: relaxed

## Properties
The value obtained for the density is 6370 kg/m3. For the energy of formation from the pure elements, the calculation gives 1.062 eV/atom. The total energy is -7.03 eV/atom. As for the distance to the lowest polymorph of the same formula: 0.255 eV per atom. Its spin magnetization is 0.000 μB/atom.

Lattice parameters (Å, degrees): 2.6235 2.6235 10.7171 90.00 90.00 90.00
With the nearest neighbours (Å) after each atom.
Space group P4mm (No. 99)
Asymmetric unit:
K 0.0000 0.0000 0.0000 [1 per cell]  4 K 2.62
Cr 0.5000 0.5000 0.7127 [1 per cell]  4 Cr 2.62, 4 Mo 2.81
Mo 0.0000 0.0000 0.5153 [1 per cell]  4 Mo 2.62, 4 Cr 2.81
Mo 0.5000 0.5000 0.2993 [1 per cell]  4 Mo 2.62

No. 8
Compound: Ni2AgMoN
Source: Alexandria via LeMat-Bulk
Functional: PBE
Structure: relaxed

## Properties
The value obtained for the density is 8950 kg/m3. The calculation puts the formation energy (no corrections) at 0.12 eV per atom. The total energy is -6.59 eV/atom. Its spin magnetization is 0.215 μB/atom.

Lattice parameters (Å, degrees): 3.9295 3.9295 4.0278 90.00 90.00 90.00
With the nearest neighbours (Å) after each atom.
Space group P4/mmm (No. 123)
Asymmetric unit:
Ni 0.0000 0.5000 0.0000 [2 per cell]  2 N 1.96
Ag 0.0000 0.0000 0.5000 [1 per cell]  4 Mo 2.78, 8 Ni 2.81
Mo 0.5000 0.5000 0.5000 [1 per cell]  2 N 2.01
N 0.5000 0.5000 0.0000 [1 per cell]  4 Ni 1.96, 2 Mo 2.01

No. 9
Compound: ReSb2Pt
Source: Alexandria via LeMat-Bulk
Functional: PBE
Structure: relaxed

## Properties
The value obtained for the density is 13505 kg/m3. The calculation puts the formation energy (no corrections) at 0.15 eV per atom. The total energy is -6.53 eV/atom. As for the distance to the lowest polymorph of the same formula: 0.000 eV per atom. Its spin magnetization is 0.000 μB/atom.

Lattice parameters (Å, degrees): 4.2848 3.4124 10.5088 90.00 90.00 90.00
With the nearest neighbours (Å) after each atom.
Space group Amm2 (No. 38)
Asymmetric unit:
Re 0.0000 0.0000 0.0000 [2 per cell]  7 Sb 2.82-2.94, 2 Pt 2.85
Sb 0.0000 0.0000 0.2720 [2 per cell]  4 Pt 2.79, 3 Re 2.86-2.94
Sb 0.5000 0.0000 0.5644 [2 per cell]  1 Pt 2.70, 4 Re 2.82
Pt 0.5000 0.0000 0.8210 [2 per cell]  5 Sb 2.70-2.79, 2 Re 2.85

No. 10
Compound: LaSi3Pd3
Source: Alexandria via LeMat-Bulk
Functional: PBE
Structure: relaxed

## Properties
The value obtained for the density is 5926 kg/m3. The calculation puts the formation energy (no corrections) at -0.54 eV per atom. The total energy is -5.79 eV/atom. As for the distance to the lowest polymorph of the same formula: 0.000 eV per atom. Its spin magnetization is 0.000 μB/atom.

Lattice parameters (Å, degrees): 9.0535 9.0535 4.2819 90.00 90.00 120.00
With the nearest neighbours (Å) after each atom.
Space group P6_3/m (No. 176)
Asymmetric unit:
La 0.3333 0.6667 0.2500 [2 per cell]  9 Si 3.18-3.21, 6 Pd 3.27
Si 0.0534 0.6330 0.7500 [6 per cell]  4 Pd 2.41-2.46
Pd 0.0816 0.3769 0.7500 [6 per cell]  4 Si 2.41-2.46

No. 11
Compound: HfBeRe3
Source: Alexandria via LeMat-Bulk
Functional: PBE
Structure: relaxed

## Properties
The value obtained for the density is 16310 kg/m3. For the energy of formation from the pure elements, the calculation gives 0.371 eV/atom. The total energy is -9.83 eV/atom. As for the distance to the lowest polymorph of the same formula: 0.000 eV per atom. Its spin magnetization is 0.000 μB/atom.

Lattice parameters (Å, degrees): 4.2351 4.2351 4.2351 90.00 90.00 90.00
With the nearest neighbours (Å) after each atom.
Space group Pm-3m (No. 221)
Asymmetric unit:
Hf 0.0000 0.0000 0.0000 [1 per cell]  12 Re 2.99
Be 0.5000 0.5000 0.5000 [1 per cell]  6 Re 2.12
Re 0.0000 0.5000 0.5000 [3 per cell]  2 Be 2.12